TlBIrRh2 | GGA-PBE | relaxed

Formation energy: -0.06 eV/atom
E_tot: -6.5859 eV/atom
ρ: 13825 kg/m3
Crystal system: tetragonal
Total moment: 0.000 μB per cell

Unit cell a=4.2000 b=4.2000 c=4.1755 alpha=90.00 beta=90.00 gamma=90.00
Fractional coordinates of all 5 atoms:
1 Tl 0.5000 0.5000 0.5000
2 Ir 0.0000 0.0000 0.5000
3 Rh 0.0000 0.5000 0.0000
4 Rh 0.5000 0.0000 0.0000
5 B 0.0000 0.0000 0.0000

MnTlSi2 | GGA-PBE | relaxed

E above lowest polymorph: 147 meV/atom
E_tot: -5.3168 eV/atom
ρ: 7157 kg/m3
Energy relative to the elements, uncorrected: 279 meV/atom
Crystal system: monoclinic
Total moment: 0.555 μB per cell

Unit cell a=4.3703 b=4.3703 c=6.5204 alpha=70.46 beta=70.46 gamma=38.95
Last column: magnetic moment on the atom in μB.
Fractional coordinates of all 4 atoms:
1 Mn 0.2257 0.2257 0.0916  0.64
2 Si 0.9429 0.9429 0.1020  -0.03
3 Si 0.7350 0.7350 0.8170  -0.01
4 Tl 0.5964 0.5964 0.4894  -0.01

Sm4Cu5As7 | GGA-PBE | relaxed

Formation energy: -0.76 eV/atom
E_tot: -5.2538 eV/atom
ρ: 7701 kg/m3
Crystal system: tetragonal
Total moment: 0.000 μB per cell

Unit cell a=5.5595 b=5.5595 c=10.8109 alpha=104.90 beta=104.90 gamma=90.00
Fractional coordinates of all 16 atoms:
1 Sm 0.1360 0.1360 0.7600
2 Sm 0.6240 0.6240 0.7600
3 Sm 0.8640 0.3760 0.2400
4 Sm 0.3760 0.8640 0.2400
5 Cu 0.7489 0.7489 0.4977
6 Cu 0.2511 0.2511 0.5023
7 Cu 0.2500 0.7500 0.5000
8 Cu 0.7500 0.2500 0.5000
9 Cu 0.0000 0.0000 0.0000
10 As 0.9262 0.9262 0.3435
11 As 0.4172 0.4172 0.3435
12 As 0.0738 0.5828 0.6565
13 As 0.5828 0.0738 0.6565
14 As 0.5000 0.5000 0.0000
15 As 0.5000 0.0000 0.0000
16 As 0.0000 0.5000 0.0000

Ca3Ce3NdTe8 | GGA-PBE | relaxed

E_tot: -5.0492 eV/atom
ρ: 5471 kg/m3
Energy relative to the elements, uncorrected: -1469 meV/atom
Crystal system: trigonal
Total moment: 4.006 μB per cell

Unit cell a=8.9707 b=8.9716 c=9.0530 alpha=119.69 beta=90.00 gamma=120.00
Last column: magnetic moment on the atom in μB.
Fractional coordinates of all 15 atoms:
1 Ca 0.0000 0.0000 0.0000  0.01
2 Ca 0.0000 0.5000 0.0000  0.01
3 Ca 0.5000 0.5000 0.0000  0.01
4 Ce 0.5000 0.0000 0.5000  1.09
5 Ce 0.5000 0.5000 0.5000  1.09
6 Ce 0.0000 0.5000 0.5000  1.09
7 Nd 0.0000 0.0000 0.5000  0.06
8 Te 0.2483 0.4965 0.2448  -0.01
9 Te 0.7517 0.5035 0.7552  -0.01
10 Te 0.7480 0.4960 0.2470  -0.01
11 Te 0.2520 0.5040 0.7530  -0.01
12 Te 0.7481 0.9989 0.2471  -0.01
13 Te 0.2519 0.0011 0.7529  -0.01
14 Te 0.2508 0.9989 0.2471  -0.01
15 Te 0.7492 0.0011 0.7529  -0.01

SiSb2TeRh | GGA-PBE | relaxed

E above lowest polymorph: 0 meV/atom
E_tot: -4.2386 eV/atom
ρ: 6002 kg/m3
Energy relative to the elements, uncorrected: 594 meV/atom
Crystal system: tetragonal
Total moment: 0.000 μB per cell

Unit cell a=5.0143 b=5.0143 c=5.5248 alpha=90.00 beta=90.00 gamma=90.00
Fractional coordinates of all 5 atoms:
1 Sb 0.0000 0.5000 0.0000
2 Sb 0.5000 0.0000 0.0000
3 Si 0.5000 0.5000 0.5000
4 Te 0.0000 0.0000 0.5000
5 Rh 0.0000 0.0000 0.0000

ThZrMn | GGA-PBE | relaxed

Formation energy: 0.17 eV/atom
E_tot: -8.2083 eV/atom
ρ: 9361 kg/m3
Crystal system: tetragonal
Total moment: 1.949 μB per cell

Unit cell a=3.3730 b=3.3730 c=6.3606 alpha=105.38 beta=105.38 gamma=90.00
Last column: magnetic moment on the atom in μB.
Fractional coordinates of all 3 atoms:
1 Mn 0.6801 0.6801 0.3603  2.26
2 Th 0.0166 0.0166 0.0331  -0.06
3 Zr 0.3033 0.3033 0.6066  -0.23

Ga3SbPd | GGA-PBE | relaxed

E above lowest polymorph: 0 meV/atom
E_tot: -3.6935 eV/atom
ρ: 6231 kg/m3
Energy relative to the elements, uncorrected: -14 meV/atom
Crystal system: cubic
Total moment: 0.000 μB per cell

Unit cell a=4.8847 b=4.8847 c=4.8847 alpha=90.00 beta=90.00 gamma=90.00
Fractional coordinates of all 5 atoms:
1 Sb 0.5000 0.5000 0.5000
2 Ga 0.0000 0.5000 0.0000
3 Ga 0.0000 0.0000 0.5000
4 Ga 0.5000 0.0000 0.0000
5 Pd 0.0000 0.0000 0.0000

MgTiCoS4 | GGA-PBE | relaxed

E_tot: -5.6638 eV/atom
ρ: 3342 kg/m3
Energy relative to the elements, uncorrected: -934 meV/atom
Crystal system: orthorhombic
Total moment: 2.030 μB per cell

Unit cell a=7.1296 b=7.1296 c=7.1296 alpha=120.29 beta=118.93 gamma=90.68
Last column: magnetic moment on the atom in μB.
Fractional coordinates of all 14 atoms:
1 Mg 0.3740 0.6240 0.7500  0.00
2 Mg 0.6260 0.3760 0.2500  0.00
3 Ti 0.0000 0.5000 0.0000  0.48
4 Ti 0.0000 0.0000 0.5000  0.48
5 Co 0.0000 0.0000 0.0000  0.48
6 Co 0.5000 0.0000 0.5000  0.48
7 S 0.2526 0.7694 0.4833  -0.02
8 S 0.7569 0.7951 0.5382  -0.01
9 S 0.7569 0.2187 0.9618  -0.01
10 S 0.2139 0.2306 0.9833  -0.02
11 S 0.2431 0.7813 0.0382  -0.01
12 S 0.7861 0.7694 0.0167  -0.02
13 S 0.7474 0.2306 0.5167  -0.02
14 S 0.2431 0.2049 0.4618  -0.01

TaSb2AsSe | GGA-PBE | relaxed

E_tot: -5.1618 eV/atom
ρ: 6723 kg/m3
Energy relative to the elements, uncorrected: 484 meV/atom
Crystal system: tetragonal
Total moment: 0.000 μB per cell

Unit cell a=5.4687 b=4.7766 c=5.4687 alpha=90.00 beta=90.00 gamma=90.00
Fractional coordinates of all 5 atoms:
1 Sb 0.0000 0.0000 0.5000
2 Sb 0.5000 0.0000 0.0000
3 As 0.5000 0.5000 0.5000
4 Se 0.0000 0.5000 0.0000
5 Ta 0.0000 0.0000 0.0000

ScZnCo | GGA-PBE | relaxed

Formation energy: -0.26 eV/atom
E_tot: -5.1590 eV/atom
ρ: 6151 kg/m3
Crystal system: tetragonal
Total moment: 0.525 μB per cell

Unit cell a=5.0446 b=5.0446 c=5.0446 alpha=143.23 beta=143.25 gamma=52.97
Last column: magnetic moment on the atom in μB.
Fractional coordinates of all 3 atoms:
1 Co 0.0063 0.0063 0.0000  0.71
2 Sc 0.3454 0.3454 0.0000  -0.10
3 Zn 0.6483 0.6483 0.0000  -0.02

NaTiO3 | GGA-PBE | relaxed

E_tot: -7.0853 eV/atom
ρ: 3549 kg/m3
Energy relative to the elements, uncorrected: -2268 meV/atom
Crystal system: monoclinic
Total moment: 0.000 μB per cell

Unit cell a=6.2554 b=5.6943 c=3.7747 alpha=90.00 beta=72.44 gamma=61.72
Fractional coordinates of all 10 atoms:
1 Na 0.7322 0.5432 0.5339
2 Na 0.3608 0.2134 0.7198
3 O 0.5226 0.8291 0.1388
4 O 0.5214 0.3364 0.1394
5 O 0.8517 0.8726 0.4742
6 O 0.0241 0.1603 0.6958
7 O 0.0241 0.1602 0.0803
8 O 0.2104 0.6764 0.7949
9 Ti 0.8107 0.0012 0.9947
10 Ti 0.2670 0.7494 0.2665

MgTeRuN2 | GGA-PBE | relaxed

E above lowest polymorph: 1202 meV/atom
E_tot: -4.4189 eV/atom
ρ: 5460 kg/m3
Energy relative to the elements, uncorrected: 1714 meV/atom
Crystal system: tetragonal
Total moment: 0.069 μB per cell

Unit cell a=3.8903 b=3.8903 c=5.6464 alpha=90.00 beta=90.00 gamma=90.00
Last column: magnetic moment on the atom in μB.
Fractional coordinates of all 5 atoms:
1 Ru 0.5000 0.5000 0.5000  0.10
2 Mg 0.0000 0.0000 0.0000  0.00
3 Te 0.0000 0.0000 0.5000  0.00
4 N 0.0000 0.5000 0.0000  -0.01
5 N 0.5000 0.0000 0.0000  -0.01

PrNdTm2 | GGA-PBE | relaxed

Formation energy: 0.02 eV/atom
E above lowest polymorph: 5 meV/atom
E_tot: -4.5997 eV/atom
ρ: 7906 kg/m3
Crystal system: tetragonal
Total moment: 0.000 μB per cell

Unit cell a=4.9802 b=5.1261 c=5.1261 alpha=90.00 beta=90.00 gamma=90.00
Fractional coordinates of all 4 atoms:
1 Pr 0.5000 0.5000 0.5000
2 Tm 0.0000 0.0000 0.5000
3 Tm 0.0000 0.5000 0.0000
4 Nd 0.5000 0.0000 0.0000

Tb2Y2Zn | GGA-PBE | relaxed

Formation energy: 0.01 eV/atom
E above lowest polymorph: 138 meV/atom
E_tot: -4.6843 eV/atom
ρ: 6155 kg/m3
Crystal system: tetragonal
Total moment: 0.002 μB per cell

Unit cell a=4.9745 b=4.9745 c=12.7288 alpha=101.27 beta=101.27 gamma=90.00
Fractional coordinates of all 10 atoms:
1 Tb 0.8194 0.8194 0.6388
2 Tb 0.5694 0.0694 0.1388
3 Tb 0.9306 0.4306 0.8612
4 Tb 0.1806 0.1806 0.3612
5 Y 0.4271 0.9271 0.8541
6 Y 0.6771 0.6771 0.3541
7 Y 0.3229 0.3229 0.6459
8 Y 0.0729 0.5729 0.1459
9 Zn 0.5000 0.5000 0.0000
10 Zn 0.2500 0.7500 0.5000

LiDyVCl6 | GGA-PBE | relaxed

E_tot: -4.7403 eV/atom
ρ: 3348 kg/m3
Energy relative to the elements, uncorrected: -1772 meV/atom
Crystal system: trigonal
Total moment: 6.000 μB per cell

Unit cell a=6.4298 b=6.4298 c=11.9976 alpha=90.00 beta=90.00 gamma=120.00
Last column: magnetic moment on the atom in μB.
Fractional coordinates of all 18 atoms:
1 Li 0.0000 0.0000 0.0000  0.00
2 Li 0.0000 0.0000 0.5000  0.00
3 Dy 0.6667 0.3333 0.2500  0.04
4 Dy 0.3333 0.6667 0.7500  0.04
5 V 0.3333 0.6667 0.2500  2.55
6 V 0.6667 0.3333 0.7500  2.55
7 Cl 0.6489 0.6685 0.1285  -0.01
8 Cl 0.0196 0.3511 0.1285  -0.01
9 Cl 0.3511 0.0196 0.6285  -0.01
10 Cl 0.9804 0.6489 0.8715  -0.01
11 Cl 0.3315 0.3511 0.3715  -0.01
12 Cl 0.0196 0.6685 0.3715  -0.01
13 Cl 0.6685 0.0196 0.8715  -0.01
14 Cl 0.6489 0.9804 0.3715  -0.01
15 Cl 0.9804 0.3315 0.6285  -0.01
16 Cl 0.3315 0.9804 0.1285  -0.01
17 Cl 0.6685 0.6489 0.6285  -0.01
18 Cl 0.3511 0.3315 0.8715  -0.01

CrHSe2 | GGA-PBE | relaxed

E above lowest polymorph: 102 meV/atom
E_tot: -5.2190 eV/atom
ρ: 3791 kg/m3
Crystal system: orthorhombic
Total moment: 12.000 μB per cell

Unit cell a=9.3564 b=3.5412 c=11.1531 alpha=90.00 beta=90.00 gamma=90.00
Last column: magnetic moment on the atom in μB.
Fractional coordinates of all 16 atoms:
1 Cr 0.4491 0.2500 0.3961  2.98
2 Cr 0.0509 0.7500 0.8961  2.98
3 Cr 0.5509 0.7500 0.6039  2.98
4 Cr 0.9491 0.2500 0.1039  2.98
5 Se 0.6843 0.2500 0.4922  -0.15
6 Se 0.8157 0.7500 0.9922  -0.15
7 Se 0.3157 0.7500 0.5078  -0.15
8 Se 0.1843 0.2500 0.0078  -0.15
9 Se 0.4977 0.2500 0.7605  -0.10
10 Se 0.0023 0.7500 0.2605  -0.10
11 Se 0.5023 0.7500 0.2395  -0.10
12 Se 0.9977 0.2500 0.7395  -0.10
13 H 0.1414 0.2500 0.6808  0.01
14 H 0.3586 0.7500 0.1808  0.01
15 H 0.8586 0.7500 0.3192  0.01
16 H 0.6414 0.2500 0.8192  0.01

RbAl2H | GGA-PBE | relaxed

E above lowest polymorph: 766 meV/atom
E_tot: -1.7782 eV/atom
ρ: 2155 kg/m3
Crystal system: cubic
Total moment: 0.000 μB per cell

Unit cell a=5.3489 b=5.3489 c=5.3489 alpha=60.00 beta=60.00 gamma=60.00
Fractional coordinates of all 4 atoms:
1 H 0.0000 0.0000 0.0000
2 Al 0.2500 0.2500 0.2500
3 Al 0.7500 0.7500 0.7500
4 Rb 0.5000 0.5000 0.5000

Ni2Pt5Rh | GGA-PBE | relaxed

Formation energy: -0.06 eV/atom
E above lowest polymorph: 0 meV/atom
E_tot: -6.1983 eV/atom
ρ: 17151 kg/m3
Crystal system: orthorhombic
Total moment: 6.056 μB per cell

Unit cell a=3.8230 b=5.5001 c=11.0118 alpha=90.00 beta=90.00 gamma=90.00
Last column: magnetic moment on the atom in μB.
Fractional coordinates of all 16 atoms:
1 Ni 0.5000 0.2495 0.3762  0.83
2 Ni 0.5000 0.7505 0.6238  0.83
3 Ni 0.5000 0.2505 0.8762  0.83
4 Ni 0.5000 0.7495 0.1238  0.83
5 Pt 0.5000 0.2521 0.1231  0.18
6 Pt 0.5000 0.7479 0.8769  0.18
7 Pt 0.5000 0.7521 0.3769  0.18
8 Pt 0.5000 0.2479 0.6231  0.18
9 Pt 0.0000 0.9980 0.7479  0.16
10 Pt 0.0000 0.0020 0.2521  0.16
11 Pt 0.0000 0.4980 0.7521  0.16
12 Pt 0.0000 0.5020 0.2479  0.16
13 Pt 0.0000 0.5000 0.5000  0.21
14 Pt 0.0000 0.0000 0.0000  0.21
15 Rh 0.0000 0.0000 0.5000  0.55
16 Rh 0.0000 0.5000 0.0000  0.55

La5AgGe2 | GGA-PBE | relaxed

Formation energy: -0.51 eV/atom
E_tot: -5.1037 eV/atom
ρ: 6519 kg/m3
Crystal system: tetragonal
Total moment: 0.000 μB per cell

Unit cell a=7.9881 b=7.9881 c=9.4423 alpha=115.02 beta=115.02 gamma=90.00
Fractional coordinates of all 16 atoms:
1 La 0.5304 0.6860 0.7164
2 La 0.8140 0.9696 0.2836
3 La 0.0000 0.0000 0.0000
4 La 0.5000 0.5000 0.0000
5 La 0.1860 0.0304 0.7164
6 La 0.6860 0.1860 0.7164
7 La 0.0304 0.5304 0.7164
8 La 0.3140 0.8140 0.2836
9 La 0.9696 0.4696 0.2836
10 La 0.4696 0.3140 0.2836
11 Ag 0.7500 0.7500 0.5000
12 Ag 0.2500 0.2500 0.5000
13 Ge 0.1229 0.3771 0.0000
14 Ge 0.6229 0.1229 0.0000
15 Ge 0.3771 0.8771 0.0000
16 Ge 0.8771 0.6229 0.0000

Sc3Si3Ni2 | GGA-PBE | relaxed

E above lowest polymorph: 279 meV/atom
E_tot: -6.4526 eV/atom
ρ: 4441 kg/m3
Energy relative to the elements, uncorrected: -599 meV/atom
Crystal system: orthorhombic
Total moment: 0.000 μB per cell

Unit cell a=5.1427 b=5.1427 c=13.2046 alpha=90.00 beta=90.00 gamma=133.89
Fractional coordinates of all 16 atoms:
1 Sc 0.3519 0.6481 0.9616
2 Sc 0.6481 0.3519 0.4616
3 Sc 0.3519 0.6481 0.5384
4 Sc 0.6481 0.3519 0.0384
5 Sc 0.5345 0.4655 0.7500
6 Sc 0.4655 0.5345 0.2500
7 Ni 0.1806 0.8194 0.3383
8 Ni 0.8194 0.1806 0.8383
9 Ni 0.1806 0.8194 0.1617
10 Ni 0.8194 0.1806 0.6617
11 Si 0.0526 0.9474 0.9026
12 Si 0.9474 0.0526 0.4026
13 Si 0.0526 0.9474 0.5974
14 Si 0.9474 0.0526 0.0974
15 Si 0.2405 0.7595 0.7500
16 Si 0.7595 0.2405 0.2500